Record 1
5
Lattice="4.160 0.000 0.000 0.000 5.072 0.000 0.000 0.000 4.160" Properties=species:S:1:pos:R:3 comment="FeP2AuS (PBE, relaxed)" dft_energy_ev_per_atom=-4.792 polymorph_energy_mev_per_atom=0 vol_a3_per_cell=87.8 sg="P4/mmm (123)" pbc="T T T"
Fe 0.000 0.000 0.000
P 0.000 0.000 2.080
Au 2.080 2.536 2.080
P 2.080 0.000 0.000
S 0.000 2.536 0.000



Record 2
5
Lattice="4.731 0.000 0.000 0.000 4.731 0.000 0.000 0.000 4.875" Properties=species:S:1:pos:R:3 comment="FeP2AuS (PBE, relaxed)" dft_energy_ev_per_atom=-3.971 polymorph_energy_mev_per_atom=821 vol_a3_per_cell=109.1 sg="P4/mmm (123)" pbc="T T T"
Fe 2.366 2.366 2.438
S 0.000 0.000 2.438
P 2.366 0.000 0.000
Au 0.000 0.000 0.000
P 0.000 2.366 0.000



Record 3
5
Lattice="-2.917 -3.300 1.806 1.671 -3.231 -3.205 3.385 -1.306 3.081" Properties=species:S:1:pos:R:3 comment="FeSbP2Au (PBE, relaxed)" dft_energy_ev_per_atom=-4.055 vol_a3_per_cell=109.9 sg="P4/mmm (123)" pbc="T T T"
P 1.693 -0.653 1.541
Au 0.000 0.000 0.000
Sb 1.069 -3.919 0.841
P -1.459 -1.650 0.903
Fe 0.835 -1.615 -1.603



Record 4
8
Lattice="-1.480 0.584 -3.529 3.477 -0.662 -1.568 -2.332 -10.469 -0.755" Properties=species:S:1:pos:R:3 comment="SrFePAu (PBE, relaxed)" ef_mev_per_atom=-719 dft_energy_ev_per_atom=-5.427 vol_a3_per_cell=161.2 sg="P4/nmm (129)" pbc="T T T"
Fe 2.238 -0.350 -2.058
P -0.597 -9.460 -4.501
Sr 0.911 -2.691 -4.013
Sr -1.246 -7.855 -1.839
Au -1.407 -4.962 -3.416
Fe -0.241 0.273 -3.039
Au 1.072 -5.585 -2.436
P 0.261 -1.087 -1.351



Record 5
4
Lattice="4.512 0.000 0.000 2.256 3.908 0.000 2.256 1.303 3.684" Properties=species:S:1:pos:R:3 comment="PaFe2Au (PBE, relaxed)" ef_mev_per_atom=53 dft_energy_ev_per_atom=-7.372 polymorph_energy_mev_per_atom=275 vol_a3_per_cell=65.0 sg="Fm-3m (225)" pbc="T T T"
Au 4.512 2.605 1.842
Pa 0.000 0.000 0.000
Fe 2.256 1.303 0.921
Fe 6.769 3.908 2.763



Record 6
4
Lattice="4.537 0.000 0.000 2.269 3.930 0.000 2.269 1.310 4.062" Properties=species:S:1:pos:R:3 comment="PaFe2Au (PBE, relaxed)" ef_mev_per_atom=-221 dft_energy_ev_per_atom=-7.646 polymorph_energy_mev_per_atom=0 vol_a3_per_cell=72.4 sg="R-3m (166)" pbc="T T T"
Fe 2.269 1.310 1.900
Fe 6.806 3.930 2.162
Au 4.537 2.620 2.031
Pa 0.000 0.000 0.000



Record 7
4
Lattice="-2.915 1.301 1.690 0.179 -3.173 2.752 2.476 2.305 2.497" Properties=species:S:1:pos:R:3 comment="PaFe2Au (PBE, relaxed)" ef_mev_per_atom=-119 dft_energy_ev_per_atom=-7.544 polymorph_energy_mev_per_atom=102 vol_a3_per_cell=63.8 sg="P4/mmm (123)" pbc="T T T"
Fe 1.238 1.153 1.248
Pa -1.457 0.650 0.845
Fe 0.090 -1.587 1.376
Au -0.130 0.216 3.469



Record 8
6
Lattice="-0.107 4.019 -3.008 -0.080 -0.597 -4.985 -4.161 1.086 -2.592" Properties=species:S:1:pos:R:3 comment="PaFe4Au (PBE, relaxed)" ef_mev_per_atom=-80 dft_energy_ev_per_atom=-7.851 vol_a3_per_cell=89.5 sg="F-43m (216)" pbc="T T T"
Fe -0.633 2.275 -5.320
Au 0.000 0.000 0.000
Fe -2.719 2.819 -6.619
Fe -2.665 0.805 -5.111
Fe -2.678 3.118 -4.120
Pa -1.087 1.127 -2.646



Record 9
4
Lattice="-3.138 -1.511 -3.113 0.237 -4.375 -1.620 -3.222 -3.137 1.265" Properties=species:S:1:pos:R:3 comment="PaFePdAu (PBE, relaxed)" ef_mev_per_atom=-173 dft_energy_ev_per_atom=-6.781 vol_a3_per_cell=72.1 sg="F-43m (216)" pbc="T T T"
Pa -4.592 -6.767 -2.601
Fe -3.061 -4.512 -1.734
Pd 0.000 0.000 0.000
Au -1.531 -2.256 -0.867



Record 10
4
Lattice="4.860 0.000 0.000 2.430 4.209 0.000 2.430 1.403 3.968" Properties=species:S:1:pos:R:3 comment="PaFeSnAu (PBE, relaxed)" ef_mev_per_atom=-73 dft_energy_ev_per_atom=-6.382 vol_a3_per_cell=81.2 sg="F-43m (216)" pbc="T T T"
Pa 7.290 4.209 2.976
Fe 0.000 0.000 0.000
Au 4.860 2.806 1.984
Sn 2.430 1.403 0.992



Record 11
4
Lattice="-0.106 1.115 -4.959 -0.238 -3.735 -3.441 -4.261 -0.723 -2.678" Properties=species:S:1:pos:R:3 comment="FePb2Au (PBE, relaxed)" ef_mev_per_atom=562 dft_energy_ev_per_atom=-4.227 polymorph_energy_mev_per_atom=336 vol_a3_per_cell=92.9 sg="F-43m (216)" pbc="T T T"
Fe -3.454 -2.507 -8.309
Pb 0.000 0.000 0.000
Au -2.302 -1.671 -5.539
Pb -1.151 -0.836 -2.770



Record 12
4
Lattice="-6.025 5.175 -4.548 -6.288 2.250 -6.258 -8.057 2.709 -3.392" Properties=species:S:1:pos:R:3 comment="FePb2Au (PBE, relaxed)" ef_mev_per_atom=411 dft_energy_ev_per_atom=-4.379 polymorph_energy_mev_per_atom=185 vol_a3_per_cell=89.4 sg="R-3m (166)" pbc="T T T"
Pb -0.091 0.045 -0.063
Fe -15.278 7.601 -10.649
Pb -10.094 5.022 -7.036
Au -5.093 2.534 -3.550